1.
A crystal of Ba2IrW relaxed with PBEsol. Source: the Alexandria database, functional meta-GGA SCAN.

Output
Density of states at the Fermi level = 3.3 states/eV per cell
Formation enthalpy at 0 K = 0.0711 eV per atom

abc: 9.495 9.495 9.495
angles: 25.75 25.75 25.75
Fractional positions:
Ba (0.000, 0.000, 0.000)
Ba (0.178, 0.178, 0.178)
Ir (0.748, 0.748, 0.748)
W (0.426, 0.426, 0.426)

***

2.
A crystal of NiTeAs relaxed with PBEsol. Source: the Alexandria database, functional meta-GGA SCAN.

Output
Formation energy from raw total energies = 135 meV/atom
Density of states at the Fermi level = 1.5 states/eV per cell

abc: 6.576 6.576 6.576
angles: 153.54 153.54 37.77
Fractional positions:
Ni (0.000, 0.000, 0.000)
Te (0.340, 0.340, 0.000)
As (0.603, 0.603, 0.000)

***

3.
A crystal of BaSi4Au relaxed with PBEsol. Source: the Alexandria database, functional meta-GGA SCAN.

Output
Formation energy from raw total energies = 376 meV/atom
Density of states at the Fermi level = 3.9 states/eV per cell

abc: 5.481 5.481 5.481
angles: 60.00 60.00 60.00
Fractional positions:
Ba (0.000, 0.000, 0.000)
Si (0.381, 0.381, 0.381)
Si (0.381, 0.381, 0.857)
Si (0.381, 0.857, 0.381)
Si (0.857, 0.381, 0.381)
Au (0.750, 0.750, 0.750)